1.
Computed, not measured: a geometry-optimized Cs3Ac2SmTe6 structure at the PBE-GGA level of DFT.

Calculated values
E_tot ... -4.330 eV per atom
Uncorrected formation energy ... -1468 meV/atom
Spin magnetization ... 0.000 μB per atom

The structure in POSCAR format:
```
Cs3Ac2SmTe6
1.0
-2.281 -5.484 -5.859
7.326 -0.865 3.897
-5.620 -2.948 6.930
Cs Ac Sm Te
3 2 1 6
direct
0.169 0.831 0.500
0.831 0.169 0.500
0.500 0.500 0.500
0.334 0.666 0.000
0.666 0.334 0.000
0.000 0.000 0.000
0.934 0.614 0.802
0.747 0.747 0.199
0.066 0.386 0.198
0.614 0.934 0.802
0.253 0.253 0.801
0.386 0.066 0.198
```

2.
Computed, not measured: a geometry-optimized YCrRu2 structure at the PBE-GGA level of DFT.

Calculated values
E_tot ... -8.372 eV per atom
Spin magnetization ... 0.000 μB per atom
Formation energy from the elements ... 110.9 kJ/mol of formula units

The structure in POSCAR format:
```
YCrRu2
1.0
-1.332 -5.614 -4.096
5.915 -3.105 2.332
0.812 -5.570 1.259
Y Ru Cr
2 4 2
direct
0.000 0.000 0.000
0.750 0.250 0.500
0.558 0.125 0.250
0.192 0.625 0.250
0.375 0.442 0.750
0.875 0.808 0.750
0.500 0.500 0.000
0.250 0.750 0.500
```

3.
Computed, not measured: a geometry-optimized SrInAgAu2 structure at the PBE-GGA level of DFT.

Calculated values
E_tot ... -3.247 eV per atom
Spin magnetization ... 0.000 μB per atom
Formation energy from the elements ... -232.5 kJ/mol of formula units

The structure in POSCAR format:
```
SrInAgAu2
1.0
4.332 0.000 0.000
0.000 4.332 0.000
-2.166 -2.166 6.496
Sr In Ag Au
1 1 1 2
direct
0.000 0.000 0.000
0.750 0.250 0.500
0.250 0.750 0.500
0.606 0.606 0.211
0.394 0.394 0.789
```

4.
Computed, not measured: a geometry-optimized PaNbC2 structure at the PBE-GGA level of DFT.

Calculated values
E_tot ... -10.048 eV per atom
Spin magnetization ... 0.000 μB per atom
Formation energy from the elements ... -210.2 kJ/mol of formula units

The structure in POSCAR format:
```
PaNbC2
1.0
-0.853 -1.135 -3.057
2.369 -5.198 1.268
-9.937 -3.534 4.083
Pa Nb C
4 4 8
direct
0.750 0.084 0.141
0.250 0.916 0.859
0.750 0.584 0.359
0.250 0.416 0.641
0.250 0.586 0.104
0.250 0.086 0.396
0.750 0.414 0.896
0.750 0.914 0.604
0.750 0.247 0.493
0.250 0.753 0.507
0.750 0.747 0.007
0.250 0.253 0.993
0.750 0.161 0.755
0.250 0.339 0.255
0.750 0.661 0.745
0.250 0.839 0.245
```

5.
Computed, not measured: a geometry-optimized Ce7Sb3Te structure at the PBE-GGA level of DFT.

Calculated values
E_tot ... -5.798 eV per atom
Uncorrected formation energy ... -612 meV/atom
Spin magnetization ... 0.728 μB per atom

The structure in POSCAR format:
```
Ce7Sb3Te
1.0
-2.361 -2.229 -4.850
7.762 -2.537 1.506
-2.269 -3.857 6.995
Ce Sb Te
7 3 1
direct
0.185 0.177 0.177
0.286 0.065 0.581
0.714 0.419 0.935
0.286 0.581 0.065
0.000 0.500 0.500
0.714 0.935 0.419
0.815 0.823 0.823
0.000 0.768 0.232
0.500 0.000 0.000
0.000 0.232 0.768
0.500 0.500 0.500
```

6.
Computed, not measured: a geometry-optimized La2InBr structure at the PBE-GGA level of DFT.

Calculated values
E_tot ... -3.977 eV per atom
Uncorrected formation energy ... -411 meV/atom
Spin magnetization ... 0.000 μB per atom

The structure in POSCAR format:
```
La2InBr
1.0
-4.307 -0.869 -4.503
2.642 -5.519 -1.461
-5.826 -7.046 2.538
In Br La
2 2 4
direct
0.000 0.000 0.000
0.750 0.250 0.500
0.500 0.500 0.000
0.250 0.750 0.500
0.612 0.125 0.250
0.138 0.625 0.250
0.375 0.388 0.750
0.875 0.862 0.750
```

7.
Computed, not measured: a geometry-optimized Mn2TlSe structure at the PBE-GGA level of DFT.

Calculated values
E_tot ... -5.760 eV per atom
Uncorrected formation energy ... 288 meV/atom
Spin magnetization ... 2.035 μB per atom

The structure in POSCAR format:
```
Mn2TlSe
1.0
5.285 -0.017 0.003
1.187 5.150 -0.003
-2.386 -3.638 3.000
Mn Se Tl
2 1 1
direct
0.976 0.976 0.000
0.524 0.524 0.000
0.750 0.250 0.500
0.250 0.750 0.500
```